Material: NaCa2HPt
Method: DFT, PBE
State: relaxed

Cell lengths 4.835, 4.835, 4.229 Å; angles 90.00, 90.00, 90.00 degrees
Positions (direct):
Na 0.000 0.000 0.000
Ca 0.000 0.500 0.500
Ca 0.500 0.000 0.500
H 0.000 0.000 0.500
Pt 0.500 0.500 0.000

Summary:
The total energy comes out at -16.78 eV/cell. The density of states at the Fermi level is 2.73 states/eV/f.u. As for the calculated volume: 99 Å³ per cell.

---

Material: Na2CaHPt
Method: DFT, PBE
State: relaxed

Cell lengths 4.350, 4.350, 4.970 Å; angles 90.00, 90.00, 90.00 degrees
Positions (direct):
Na 0.000 0.500 0.000
Na 0.500 0.000 0.000
Ca 0.000 0.000 0.500
H 0.000 0.000 0.000
Pt 0.500 0.500 0.500

Summary:
The total energy comes out at -15.44 eV/cell. The density of states at the Fermi level is 1.21 states/eV/f.u. As for the calculated volume: 94 Å³ per cell.

---

Material: NaCaH6Pt
Method: DFT, PBE
State: relaxed

Cell lengths 5.107, 5.107, 4.566 Å; angles 90.00, 90.00, 120.00 degrees
Positions (direct):
Na 0.000 0.000 0.000
Ca 0.667 0.333 0.500
H 0.089 0.404 0.236
H 0.089 0.685 0.764
H 0.315 0.404 0.764
H 0.315 0.911 0.236
H 0.596 0.685 0.236
H 0.596 0.911 0.764
Pt 0.333 0.667 0.000

Summary:
The total energy comes out at -31.94 eV/cell. The density of states at the Fermi level is 2.07 states/eV/f.u. As for the calculated volume: 103 Å³ per cell.

---

Material: NaCaH4Pt
Method: DFT, PBE
State: relaxed

Cell lengths 6.793, 6.793, 5.248 Å; angles 90.00, 90.00, 134.36 degrees
Positions (direct):
Na 0.105 0.895 0.750
Na 0.895 0.105 0.250
Ca 0.380 0.620 0.750
Ca 0.620 0.380 0.250
H 0.000 0.500 0.000
H 0.000 0.500 0.500
H 0.112 0.888 0.250
H 0.394 0.606 0.250
H 0.500 0.000 0.000
H 0.500 0.000 0.500
H 0.606 0.394 0.750
H 0.888 0.112 0.750
Pt 0.251 0.749 0.250
Pt 0.749 0.251 0.750

Summary:
The total energy comes out at -50.99 eV/cell. The density of states at the Fermi level is 1.28 states/eV/f.u. As for the calculated volume: 173 Å³ per cell.

---

Material: Rb2NaCaH
Method: DFT, PBE
State: relaxed

Cell lengths 6.806, 6.806, 4.756 Å; angles 90.00, 90.00, 90.00 degrees
Positions (direct):
Rb 0.000 0.500 0.000
Rb 0.500 0.000 0.000
Na 0.000 0.000 0.500
Ca 0.500 0.500 0.500
H 0.500 0.500 0.000

Summary:
The total energy comes out at -8.36 eV/cell. The density of states at the Fermi level is 2.46 states/eV/f.u. As for the calculated volume: 220 Å³ per cell.

---

Material: Na2CaH8Rh
Method: DFT, PBE
State: relaxed

Cell lengths 4.986, 4.986, 6.030 Å; angles 90.00, 90.00, 120.00 degrees
Positions (direct):
Na 0.333 0.667 0.371
Na 0.667 0.333 0.629
Ca 0.000 0.000 0.000
H 0.154 0.307 0.668
H 0.154 0.846 0.668
H 0.307 0.154 0.332
H 0.333 0.667 0.984
H 0.667 0.333 0.016
H 0.693 0.846 0.668
H 0.846 0.154 0.332
H 0.846 0.693 0.332
Rh 0.000 0.000 0.500

Summary:
The total energy comes out at -40.75 eV/cell. The density of states at the Fermi level is 1.44 states/eV/f.u. As for the calculated volume: 130 Å³ per cell.